<w>
5
Lattice="5.155 0.000 0.000 0.000 5.155 0.000 0.000 0.000 3.964" Properties=species:S:1:pos:R:3 comment="ZrFeP2O PBE with a Hubbard U relaxed" magnetic_moment_mub_per_fu=3.87 pbc="T T T"
O 0.000 0.000 1.982
P 0.000 2.578 0.000
P 2.578 0.000 0.000
Fe 2.578 2.578 1.982
Zr 0.000 0.000 0.000

<x>
5
Lattice="4.671 0.000 0.000 0.000 4.671 0.000 0.000 0.000 3.626" Properties=species:S:1:pos:R:3 comment="ZrFeP2O PBE with a Hubbard U relaxed" magnetic_moment_mub_per_fu=3.22 pbc="T T T"
O 0.000 0.000 1.813
P 0.000 2.336 0.000
P 2.336 0.000 0.000
Fe 0.000 0.000 0.000
Zr 2.336 2.336 1.813

Relative energies, meV/atom: <w> 204; <x> 0.